Entry 1:
Entry from Alexandria: a relaxed structure of PBr3 (PBE).

energy relative to the elements, uncorrected: 0.283 eV/atom

Cell lengths 5.1773, 5.1773, 10.1600 Å; angles 90.00, 90.00, 141.33 degrees
Last column: nearest neighbours and their distance in Å.
Fractional coordinates of all 4 atoms:
Br  0.0000  0.0000  0.0728  2 P 2.49
Br  0.5000  0.5000  0.7500  6 Br 3.43-3.70
Br  0.0000  0.0000  0.4272  2 P 2.49
P  0.5000  0.5000  0.2500  4 Br 2.49

=====

Entry 2:
Entry from Alexandria: a relaxed structure of P3Br (PBE).

offset from the most stable computed form: 1.28 eV per formula unit
energy relative to the elements, uncorrected: 0.566 eV/atom

Cell lengths 7.1740, 7.1740, 6.9771 Å; angles 90.00, 90.00, 120.00 degrees
Last column: nearest neighbours and their distance in Å.
Fractional coordinates of all 16 atoms:
P  0.5000  0.0000  0.0000  4 P 2.54, 2 Br 2.71
P  0.5000  0.0000  0.5000  4 P 2.54, 2 Br 2.71
P  0.0000  0.5000  0.0000  4 P 2.54, 2 Br 2.71
P  0.5000  0.5000  0.0000  4 P 2.54, 2 Br 2.71
P  0.5000  0.5000  0.5000  4 P 2.54, 2 Br 2.71
P  0.0000  0.5000  0.5000  4 P 2.54, 2 Br 2.71
P  0.7845  0.5690  0.2500  6 P 2.54
P  0.2155  0.4310  0.7500  6 P 2.54
P  0.4310  0.2155  0.2500  6 P 2.54
P  0.7845  0.2155  0.2500  6 P 2.54
P  0.2155  0.7845  0.7500  6 P 2.54
P  0.5690  0.7845  0.7500  6 P 2.54
Br  0.0000  0.0000  0.0000  6 P 3.20, 2 Br 3.49
Br  0.0000  0.0000  0.5000  6 P 3.20, 2 Br 3.49
Br  0.3333  0.6667  0.2500  6 P 2.71
Br  0.6667  0.3333  0.7500  6 P 2.71

=====

Entry 3:
Entry from Alexandria: a relaxed structure of PBr3 (PBE).

energy relative to the elements, uncorrected: 0.318 eV/atom

Cell lengths 7.9017, 7.9017, 7.8994 Å; angles 59.99, 59.99, 90.00 degrees
Last column: nearest neighbours and their distance in Å.
Fractional coordinates of all 8 atoms:
P  0.5000  0.5000  0.0000  4 Br 2.42
P  0.2500  0.7500  0.5000  4 Br 2.42
Br  0.3762  0.1250  0.2500  2 P 2.42
Br  0.3738  0.6250  0.2500  2 P 2.42
Br  0.3750  0.6238  0.7500  2 P 2.42
Br  0.8750  0.6262  0.7500  2 P 2.42
Br  0.0000  0.0000  0.0000  16 Br 4.62-4.84, 4 P 4.84
Br  0.7500  0.2500  0.5000  16 Br 4.62-4.84, 4 P 4.84

=====

Entry 4:
Entry from Alexandria: a relaxed structure of PBr3 (PBE).

energy relative to the elements, uncorrected: 0.801 eV/atom

Cell lengths 5.7545, 5.7545, 5.7545 Å; angles 90.00, 90.00, 90.00 degrees
Last column: nearest neighbours and their distance in Å.
Fractional coordinates of all 8 atoms:
P  0.0000  0.0000  0.0000  12 Br 3.22
P  0.5000  0.5000  0.5000  12 Br 3.22
Br  0.7500  0.5000  0.0000  2 Br 2.88, 4 P 3.22
Br  0.2500  0.5000  0.0000  2 Br 2.88, 4 P 3.22
Br  0.0000  0.7500  0.5000  2 Br 2.88, 4 P 3.22
Br  0.0000  0.2500  0.5000  2 Br 2.88, 4 P 3.22
Br  0.5000  0.0000  0.2500  2 Br 2.88, 4 P 3.22
Br  0.5000  0.0000  0.7500  2 Br 2.88, 4 P 3.22

=====

Entry 5:
Entry from Alexandria: a relaxed structure of PaPBr3 (PBE).

energy relative to the elements, uncorrected: -1.118 eV/atom

Cell lengths 7.5891, 7.5891, 7.3368 Å; angles 105.10, 117.21, 107.83 degrees
Last column: nearest neighbours and their distance in Å.
Fractional coordinates of all 10 atoms:
Pa  0.6299  0.7417  0.3716  2 P 2.80, 6 Br 2.87-3.04
Pa  0.3701  0.2583  0.6284  2 P 2.80, 6 Br 2.87-3.04
P  0.6235  0.0498  0.6733  1 P 2.08
P  0.3765  0.9502  0.3267  1 P 2.08
Br  0.8590  0.0241  0.2574  2 Pa 2.88-3.04
Br  0.2334  0.3984  0.2574  2 Pa 2.88-3.04
Br  0.7666  0.6016  0.7426  2 Pa 2.88-3.04
Br  0.7118  0.4368  0.1485  2 Pa 2.87-3.04
Br  0.1410  0.9759  0.7426  2 Pa 2.88-3.04
Br  0.2882  0.5632  0.8515  2 Pa 2.87-3.04

=====

Entry 6:
Entry from Alexandria: a relaxed structure of Pa2PBr (PBE).

energy relative to the elements, uncorrected: -0.183 eV/atom

Cell lengths 4.9083, 4.9083, 6.1714 Å; angles 66.57, 66.57, 60.00 degrees
Last column: nearest neighbours and their distance in Å.
Fractional coordinates of all 4 atoms:
P  0.5000  0.5000  0.5000  6 Pa 2.84
Pa  0.1793  0.1793  0.4622  3 P 2.84, 3 Pa 2.86, 1 Br 2.95
Pa  0.8207  0.8207  0.5378  3 P 2.84, 3 Pa 2.86, 1 Br 2.95
Br  0.0000  0.0000  0.0000  2 Pa 2.95

=====

Entry 7:
Entry from Alexandria: a relaxed structure of PPbBr2 (PBE).

offset from the most stable computed form: 0.70 eV per formula unit
energy relative to the elements, uncorrected: -0.030 eV/atom

Cell lengths 8.2776, 8.2776, 4.2709 Å; angles 75.52, 75.52, 26.09 degrees
Last column: nearest neighbours and their distance in Å.
Fractional coordinates of all 4 atoms:
Br  0.9808  0.9808  0.0226  4 P 2.84
Br  0.2294  0.2294  0.2660  4 Pb 3.16
P  0.4717  0.4717  0.5314  4 Br 2.84, 2 Pb 3.04
Pb  0.8181  0.8181  0.6799  2 P 3.04, 6 Br 3.16-3.32

=====

Entry 8:
Entry from Alexandria: a relaxed structure of PPbBr3 (PBE).

offset from the most stable computed form: 1.16 eV per formula unit
energy relative to the elements, uncorrected: 0.242 eV/atom

Cell lengths 5.8049, 5.8049, 5.8049 Å; angles 90.00, 90.00, 90.00 degrees
Last column: nearest neighbours and their distance in Å.
Fractional coordinates of all 5 atoms:
Pb  0.0000  0.0000  0.0000  6 Br 2.90
P  0.5000  0.5000  0.5000  12 Br 4.10
Br  0.0000  0.5000  0.0000  2 Pb 2.90
Br  0.0000  0.0000  0.5000  2 Pb 2.90
Br  0.5000  0.0000  0.0000  2 Pb 2.90

=====

Number 1: N(E_F) 1.2768 states/eV/atom. Number 2: N(E_F) 0.3964 states/eV/atom. Number 3: N(E_F) 3.4253 states/eV/atom. Number 4: N(E_F) 0.9533 states/eV/atom. Number 5: N(E_F) 0.5857 states/eV/atom. Number 6: N(E_F) 1.7934 states/eV/atom. Number 7: N(E_F) 0.3007 states/eV/atom. Number 8: N(E_F) 2.2569 states/eV/atom.